# AlCdPt2

An optimized crystal structure of AlCdPt2 (GGA-PBE, the Alexandria database).

a b c (Å): 5.760 5.760 5.760
angles (deg): 103.83 103.83 121.45
Sites, in units of the cell vectors:
1 Al 0.000 0.000 0.000
2 Al 0.750 0.250 0.500
3 Cd 0.250 0.750 0.500
4 Cd 0.500 0.500 0.000
5 Pt 0.085 0.625 0.960
6 Pt 0.375 0.335 0.460
7 Pt 0.665 0.125 0.040
8 Pt 0.875 0.915 0.540

Properties
Spin magnetization = 0.00 μB per atom
Final energy = -4.57 eV per atom